{"formula": "LiMo2W", "functional": "meta-GGA SCAN", "state": "single point on PBEsol structure", "m_tot_mub_per_atom": 0.00, "formation_energy_ev_per_atom": 0.46, "lattice": [[2.5477, 0.0000, 0.0000], [0.0000, 4.3603, 0.0000], [0.0000, 0.0000, 5.3988]], "species": ["Mo", "Li", "W", "Mo"], "frac_coords": [[0.5000, 0.5000, 0.2511], [0.5000, 0.5000, 0.7506], [0.0000, 0.0000, 0.5037], [0.0000, 0.0000, 0.9945]]}